DFT (GGA-PBE) results for a relaxed HfCo crystal.

Summary:
Its formation energy is -0.4271 eV per atom. For the total energy, the calculation gives -8.96 eV/atom. The total moment is 0.000 μB/cell.

Cell: 3.2049 4.1767 9.5573 Å, 90.00 99.61 90.00°
Fractional positions:
Co: 0.9422 0.2500 0.8845
Co: 0.8326 0.7500 0.6650
Co: 0.1674 0.2500 0.3350
Co: 0.0578 0.7500 0.1155
Hf: 0.5615 0.2500 0.1227
Hf: 0.4385 0.7500 0.8773
Hf: 0.3061 0.2500 0.6119
Hf: 0.6939 0.7500 0.3881